ZnCoNO after structural relaxation. Source: the Open Quantum Materials Database, functional GGA+U.

Output
As for the relative energy among the computed polymorphs: 444 meV per atom. As for the symmetry: P4/nmm.

Cell: 3.7308 3.7308 6.9334 Å, 90.00 90.00 90.00°
Fractional coordinates of all 8 atoms:
1 O 0.0000 0.0000 0.0000
2 N 0.5000 0.0000 0.3798
3 Zn 0.5000 0.5000 0.5000
4 Co 0.5000 0.0000 0.9155
5 Co 0.0000 0.5000 0.0845
6 Zn 0.0000 0.0000 0.5000
7 O 0.5000 0.5000 0.0000
8 N 0.0000 0.5000 0.6202